(1)
Density functional theory data (PBE-GGA) for an optimized crystal structure of GdTlCdO3. Values from VASP.

Computed properties:
Electronic total energy, eV/atom: -5.618
SG: No. 63

Quantum ESPRESSO input file:
```
&SYSTEM
  ibrav = 0, nat = 12, ntyp = 4
/
ATOMIC_SPECIES
Cd 112.41 Cd.upf
Gd 157.25 Gd.upf
O 16.00 O.upf
Tl 204.38 Tl.upf
ATOMIC_POSITIONS angstrom
Cd 1.775 -2.287 2.195
Cd 1.775 2.287 6.585
Gd 0.000 0.000 0.000
Gd 0.000 0.000 4.390
O 1.775 -1.439 0.275
O 1.775 -6.161 2.195
O 1.775 -1.439 4.115
O 1.775 1.439 4.666
O 1.775 6.161 6.585
O 1.775 1.439 8.505
Tl 1.775 2.233 2.195
Tl 1.775 -2.233 6.585
CELL_PARAMETERS angstrom
1.775 -6.857 0.000
1.775 6.857 0.000
0.000 0.000 8.781
```

(2)
Density functional theory data (PBE-GGA) for an optimized crystal structure of GdCdOs. Values from VASP.

Computed properties:
Electronic total energy, eV/atom: -4.961
Formation energy, meV per atom: 631
SG: No. 216

Quantum ESPRESSO input file:
```
&SYSTEM
  ibrav = 0, nat = 3, ntyp = 3
/
ATOMIC_SPECIES
Cd 112.41 Cd.upf
Gd 157.25 Gd.upf
Os 190.23 Os.upf
ATOMIC_POSITIONS angstrom
Cd 0.000 0.000 0.000
Gd 2.267 -1.571 -0.670
Os 6.802 -4.713 -2.010
CELL_PARAMETERS angstrom
4.633 -0.135 -0.039
2.209 -3.995 0.807
2.227 -2.154 -3.448
```